[1]
The following is a DFT calculation (PBE) of an optimized crystal structure of Er4InPbO.

## Properties
Formation energy without anion corrections = -7.9 eV/f.u.
Space group = Cmcm, No. 63
Spin magnetization = 0.00 μB/atom

```
14
Lattice="3.224 -8.387 0.000 3.224 8.387 0.000 0.000 0.000 6.431" Properties=species:S:1:pos:R:3 pbc="T T T"
Er 1.612 4.194 0.000
Er 1.612 4.194 3.216
Er 3.224 7.216 4.824
Er 3.224 1.416 4.824
Er 1.612 -4.194 0.000
Er 1.612 -4.194 3.216
Er 3.224 -1.416 1.608
Er 3.224 -7.216 1.608
In 3.224 6.478 1.608
In 3.224 -6.478 4.824
Pb 3.224 1.814 1.608
Pb 3.224 -1.814 4.824
O 3.224 3.830 4.824
O 3.224 -3.830 1.608
```


[2]
The following is a DFT calculation (PBE) of an optimized crystal structure of TbCeAu3.

## Properties
Calculated formation energy = -749 meV per atom
Space group = Cmcm, No. 63
Spin magnetization = 0.20 μB/atom

```
10
Lattice="1.813 -14.182 0.000 1.813 14.182 0.000 0.000 0.000 4.651" Properties=species:S:1:pos:R:3 pbc="T T T"
Tb 1.813 8.323 3.488
Tb 1.813 -8.323 1.163
Ce 1.813 12.107 1.163
Ce 1.813 -12.107 3.488
Au 1.813 5.236 3.488
Au 1.813 3.479 1.163
Au 1.813 0.728 1.163
Au 1.813 -0.728 3.488
Au 1.813 -3.479 3.488
Au 1.813 -5.236 1.163
```


[3]
The following is a DFT calculation (PBE) of an optimized crystal structure of SrSmZn2.

## Properties
Calculated formation energy = -246 meV per atom
Space group = P4/mmm, No. 123
Spin magnetization = 0.03 μB/atom

```
4
Lattice="3.778 0.000 0.000 0.000 3.778 0.000 0.000 0.000 7.499" Properties=species:S:1:pos:R:3 pbc="T T T"
Sr 0.000 0.000 0.000
Sm 0.000 0.000 3.750
Zn 1.889 1.889 2.139
Zn 1.889 1.889 5.360
```


[4]
The following is a DFT calculation (PBE) of an optimized crystal structure of BaScTc2.

## Properties
Calculated formation energy = 997 meV per atom
Energy above the lowest structure with this stoichiometry = 0.763 eV/atom
Space group = I-4m2, No. 119
Spin magnetization = 0.00 μB/atom

```
4
Lattice="-2.032 2.032 4.965 2.032 -2.032 4.965 2.032 2.032 -4.965" Properties=species:S:1:pos:R:3 pbc="T T T"
Ba 0.000 0.000 0.000
Sc 2.032 0.000 2.483
Tc 0.000 0.000 4.965
Tc 0.000 2.032 2.483
```